Entry from Alexandria via LeMat-Bulk: an optimized crystal structure of Cs3KTl2Br9 (GGA-PBE).

Unit cell a=8.1242 b=8.1242 c=11.0443 alpha=90.00 beta=90.00 gamma=120.00
Atoms (fractional coordinates):
Br: 0.5000 0.5000 0.0000
Br: 0.1641 0.8359 0.2952
Br: 0.5000 0.0000 0.0000
Br: 0.0000 0.5000 0.0000
Br: 0.1641 0.3282 0.2952
Br: 0.8359 0.6718 0.7048
Br: 0.8359 0.1641 0.7048
Br: 0.6718 0.8359 0.2952
Br: 0.3282 0.1641 0.7048
K: 0.0000 0.0000 0.5000
Tl: 0.3333 0.6667 0.1630
Tl: 0.6667 0.3333 0.8370
Cs: 0.3333 0.6667 0.7234
Cs: 0.6667 0.3333 0.2766
Cs: 0.0000 0.0000 0.0000

Computed properties:
- calculated density (kg/m3) = 4118
- E_form (uncorrected) (eV/atom) = -1.207